Entry 1:
# Hg2HPt, PBEsol geometry, DFT meta-GGA SCAN
data_Hg2HPt
_chemical_formula_sum 'Hg2 H1 Pt1'
_space_group_name_H-M_alt 'P 1'
_space_group_IT_number 1
_space_group_name_Hall 'P 1'
_cell_length_a 4.522
_cell_length_b 4.522
_cell_length_c 4.522
_cell_angle_alpha 60.00
_cell_angle_beta 60.00
_cell_angle_gamma 60.00
loop_
_atom_site_label
_atom_site_fract_x
_atom_site_fract_y
_atom_site_fract_z
H1 0.000 0.000 0.000
Hg1 0.250 0.250 0.250
Hg2 0.750 0.750 0.750
Pt1 0.500 0.500 0.500
# VASP energy   -51.894 eV per atom
# Spin magnetization   0.170 μB per atom
# Space group   No. 225

---

Entry 2:
# RbHgH3, PBEsol geometry, DFT meta-GGA SCAN
data_RbHgH3
_chemical_formula_sum 'Rb1 Hg1 H3'
_space_group_name_H-M_alt 'P 1'
_space_group_IT_number 1
_space_group_name_Hall 'P 1'
_cell_length_a 4.094
_cell_length_b 4.094
_cell_length_c 4.094
_cell_angle_alpha 90.00
_cell_angle_beta 90.00
_cell_angle_gamma 90.00
loop_
_atom_site_label
_atom_site_fract_x
_atom_site_fract_y
_atom_site_fract_z
H1 0.000 0.500 0.000
H2 0.000 0.000 0.500
H3 0.500 0.000 0.000
Hg1 0.000 0.000 0.000
Rb1 0.500 0.500 0.500
# VASP energy   -19.824 eV per atom
# Spin magnetization   0.000 μB per atom
# Space group   No. 221

---

Entry 3:
# Rb2HgH2, PBEsol geometry, DFT meta-GGA SCAN
data_Rb2HgH2
_chemical_formula_sum 'Rb4 Hg2 H4'
_space_group_name_H-M_alt 'P 1'
_space_group_IT_number 1
_space_group_name_Hall 'P 1'
_cell_length_a 3.493
_cell_length_b 8.513
_cell_length_c 8.513
_cell_angle_alpha 90.00
_cell_angle_beta 90.00
_cell_angle_gamma 90.00
loop_
_atom_site_label
_atom_site_fract_x
_atom_site_fract_y
_atom_site_fract_z
H1 0.500 0.149 0.649
H2 0.500 0.649 0.851
H3 0.500 0.851 0.351
H4 0.500 0.351 0.149
Hg1 0.000 0.000 0.000
Hg2 0.000 0.500 0.500
Rb1 0.000 0.358 0.858
Rb2 0.000 0.858 0.642
Rb3 0.000 0.642 0.142
Rb4 0.000 0.142 0.358
# VASP energy   -23.390 eV per atom
# Spin magnetization   0.000 μB per atom
# Space group   No. 127

---

Entry 4:
# Rb3HgH, PBEsol geometry, DFT meta-GGA SCAN
data_Rb3HgH
_chemical_formula_sum 'Rb3 Hg1 H1'
_space_group_name_H-M_alt 'P 1'
_space_group_IT_number 1
_space_group_name_Hall 'P 1'
_cell_length_a 5.701
_cell_length_b 5.701
_cell_length_c 5.701
_cell_angle_alpha 90.00
_cell_angle_beta 90.00
_cell_angle_gamma 90.00
loop_
_atom_site_label
_atom_site_fract_x
_atom_site_fract_y
_atom_site_fract_z
H1 0.000 0.000 0.000
Hg1 0.500 0.500 0.500
Rb1 0.000 0.500 0.000
Rb2 0.000 0.000 0.500
Rb3 0.500 0.000 0.000
# VASP energy   -26.923 eV per atom
# Spin magnetization   0.192 μB per atom
# Space group   No. 221